Model one:
CsTh: relaxed, PBE-GGA.

CIF file:
```
data_CsTh
_chemical_formula_sum 'Cs4 Th4'
_cell_length_a 7.102
_cell_length_b 7.102
_cell_length_c 7.102
_cell_angle_alpha 90.00
_cell_angle_beta 90.00
_cell_angle_gamma 90.00
_space_group_name_H-M_alt 'F -4 3 m'
_space_group_IT_number 216
_space_group_name_Hall 'F -4 2 3'
loop_
_atom_site_label
_atom_site_type_symbol
_atom_site_fract_x
_atom_site_fract_y
_atom_site_fract_z
Cs1 Cs 0.000 0.000 0.000
Th1 Th 0.250 0.250 0.750
```

Model two:
CsTh: relaxed, PBE-GGA.

CIF file:
```
data_CsTh
_chemical_formula_sum 'Cs1 Th1'
_cell_length_a 3.6473
_cell_length_b 3.6473
_cell_length_c 7.5550
_cell_angle_alpha 90.00
_cell_angle_beta 90.00
_cell_angle_gamma 120.00
_space_group_name_H-M_alt 'P -6 m 2'
_space_group_IT_number 187
_space_group_name_Hall 'P -6 2'
loop_
_atom_site_label
_atom_site_type_symbol
_atom_site_fract_x
_atom_site_fract_y
_atom_site_fract_z
Cs1 Cs 0.0000 0.0000 0.0000
Th1 Th 0.6667 0.3333 0.5000
```

Model three:
CsTh: relaxed, PBE-GGA.

CIF file:
```
data_CsTh
_chemical_formula_sum 'Cs4 Th4'
_cell_length_a 6.939
_cell_length_b 6.939
_cell_length_c 6.939
_cell_angle_alpha 90.00
_cell_angle_beta 90.00
_cell_angle_gamma 90.00
_space_group_name_H-M_alt 'F m -3 m'
_space_group_IT_number 225
_space_group_name_Hall '-F 4 2 3'
loop_
_atom_site_label
_atom_site_type_symbol
_atom_site_fract_x
_atom_site_fract_y
_atom_site_fract_z
Cs1 Cs 0.000 0.000 0.000
Th1 Th 0.000 0.000 0.500
```

Q: What are the energies relative to the best structure? A: model one 1601; model two 0; model three 1114, in meV/atom.

Model one:
CsTmTh: relaxed, PBE-GGA.

CIF file:
```
data_CsTmTh
_chemical_formula_sum 'Cs4 Tm4 Th4'
_cell_length_a 8.285
_cell_length_b 8.285
_cell_length_c 8.285
_cell_angle_alpha 90.00
_cell_angle_beta 90.00
_cell_angle_gamma 90.00
_space_group_name_H-M_alt 'F -4 3 m'
_space_group_IT_number 216
_space_group_name_Hall 'F -4 2 3'
loop_
_atom_site_label
_atom_site_type_symbol
_atom_site_fract_x
_atom_site_fract_y
_atom_site_fract_z
Cs1 Cs 0.000 0.000 0.000
Tm1 Tm 0.250 0.250 0.250
Th1 Th 0.000 0.000 0.500
```

Model two:
CsTmTh: relaxed, PBE-GGA.

CIF file:
```
data_CsTmTh
_chemical_formula_sum 'Cs4 Tm4 Th4'
_cell_length_a 7.760
_cell_length_b 7.760
_cell_length_c 7.760
_cell_angle_alpha 90.00
_cell_angle_beta 90.00
_cell_angle_gamma 90.00
_space_group_name_H-M_alt 'F -4 3 m'
_space_group_IT_number 216
_space_group_name_Hall 'F -4 2 3'
loop_
_atom_site_label
_atom_site_type_symbol
_atom_site_fract_x
_atom_site_fract_y
_atom_site_fract_z
Cs1 Cs 0.000 0.000 0.000
Tm1 Tm 0.250 0.250 0.250
Th1 Th 0.250 0.250 0.750
```

Q: What are the energies relative to the best structure? A: model one 0; model two 30, in meV/atom.

Model one:
CsThU: relaxed, PBE-GGA.

CIF file:
```
data_CsThU
_chemical_formula_sum 'Cs4 Th4 U4'
_cell_length_a 7.831
_cell_length_b 7.831
_cell_length_c 7.831
_cell_angle_alpha 90.00
_cell_angle_beta 90.00
_cell_angle_gamma 90.00
_space_group_name_H-M_alt 'F -4 3 m'
_space_group_IT_number 216
_space_group_name_Hall 'F -4 2 3'
loop_
_atom_site_label
_atom_site_type_symbol
_atom_site_fract_x
_atom_site_fract_y
_atom_site_fract_z
Cs1 Cs 0.000 0.000 0.000
Th1 Th 0.000 0.000 0.500
U1 U 0.250 0.250 0.250
```

Model two:
CsThU: relaxed, PBE-GGA.

CIF file:
```
data_CsThU
_chemical_formula_sum 'Cs4 Th4 U4'
_cell_length_a 7.502
_cell_length_b 7.502
_cell_length_c 7.502
_cell_angle_alpha 90.00
_cell_angle_beta 90.00
_cell_angle_gamma 90.00
_space_group_name_H-M_alt 'F -4 3 m'
_space_group_IT_number 216
_space_group_name_Hall 'F -4 2 3'
loop_
_atom_site_label
_atom_site_type_symbol
_atom_site_fract_x
_atom_site_fract_y
_atom_site_fract_z
Cs1 Cs 0.000 0.000 0.000
Th1 Th 0.250 0.250 0.250
U1 U 0.250 0.250 0.750
```

Q: What are the energies relative to the best structure? A: model one 0; model two 57, in meV/atom.

Model one:
CsTlZn: relaxed, PBE-GGA.

CIF file:
```
data_CsTlZn
_chemical_formula_sum 'Cs4 Tl4 Zn4'
_cell_length_a 8.206
_cell_length_b 8.206
_cell_length_c 8.206
_cell_angle_alpha 90.00
_cell_angle_beta 90.00
_cell_angle_gamma 90.00
_space_group_name_H-M_alt 'F -4 3 m'
_space_group_IT_number 216
_space_group_name_Hall 'F -4 2 3'
loop_
_atom_site_label
_atom_site_type_symbol
_atom_site_fract_x
_atom_site_fract_y
_atom_site_fract_z
Cs1 Cs 0.000 0.000 0.000
Tl1 Tl 0.250 0.250 0.250
Zn1 Zn 0.000 0.000 0.500
```

Model two:
CsTlZn: relaxed, PBE-GGA.

CIF file:
```
data_CsTlZn
_chemical_formula_sum 'Cs4 Tl4 Zn4'
_cell_length_a 8.459
_cell_length_b 8.459
_cell_length_c 8.459
_cell_angle_alpha 90.00
_cell_angle_beta 90.00
_cell_angle_gamma 90.00
_space_group_name_H-M_alt 'F -4 3 m'
_space_group_IT_number 216
_space_group_name_Hall 'F -4 2 3'
loop_
_atom_site_label
_atom_site_type_symbol
_atom_site_fract_x
_atom_site_fract_y
_atom_site_fract_z
Cs1 Cs 0.000 0.000 0.000
Tl1 Tl 0.250 0.250 0.750
Zn1 Zn 0.250 0.250 0.250
```

Q: What are the energies relative to the best structure? A: model one 0; model two 157, in meV/atom.

Model one:
CsZrTl: relaxed, PBE-GGA.

CIF file:
```
data_CsZrTl
_chemical_formula_sum 'Cs4 Zr4 Tl4'
_cell_length_a 7.492
_cell_length_b 7.492
_cell_length_c 7.492
_cell_angle_alpha 90.00
_cell_angle_beta 90.00
_cell_angle_gamma 90.00
_space_group_name_H-M_alt 'F -4 3 m'
_space_group_IT_number 216
_space_group_name_Hall 'F -4 2 3'
loop_
_atom_site_label
_atom_site_type_symbol
_atom_site_fract_x
_atom_site_fract_y
_atom_site_fract_z
Cs1 Cs 0.000 0.000 0.000
Zr1 Zr 0.250 0.250 0.250
Tl1 Tl 0.000 0.000 0.500
```

Model two:
CsZrTl: relaxed, PBE-GGA.

CIF file:
```
data_CsZrTl
_chemical_formula_sum 'Cs4 Zr4 Tl4'
_cell_length_a 7.629
_cell_length_b 7.629
_cell_length_c 7.629
_cell_angle_alpha 90.00
_cell_angle_beta 90.00
_cell_angle_gamma 90.00
_space_group_name_H-M_alt 'F -4 3 m'
_space_group_IT_number 216
_space_group_name_Hall 'F -4 2 3'
loop_
_atom_site_label
_atom_site_type_symbol
_atom_site_fract_x
_atom_site_fract_y
_atom_site_fract_z
Cs1 Cs 0.000 0.000 0.000
Zr1 Zr 0.250 0.250 0.250
Tl1 Tl 0.250 0.250 0.750
```

Q: What are the energies relative to the best structure? A: model one 0; model two 534, in meV/atom.

Model one:
CsYTm: relaxed, PBE-GGA.

CIF file:
```
data_CsYTm
_chemical_formula_sum 'Cs4 Y4 Tm4'
_cell_length_a 7.823
_cell_length_b 7.823
_cell_length_c 7.823
_cell_angle_alpha 90.00
_cell_angle_beta 90.00
_cell_angle_gamma 90.00
_space_group_name_H-M_alt 'F -4 3 m'
_space_group_IT_number 216
_space_group_name_Hall 'F -4 2 3'
loop_
_atom_site_label
_atom_site_type_symbol
_atom_site_fract_x
_atom_site_fract_y
_atom_site_fract_z
Cs1 Cs 0.000 0.000 0.000
Y1 Y 0.250 0.250 0.250
Tm1 Tm 0.250 0.250 0.750
```

Model two:
CsYTm: relaxed, PBE-GGA.

CIF file:
```
data_CsYTm
_chemical_formula_sum 'Cs4 Y4 Tm4'
_cell_length_a 8.598
_cell_length_b 8.598
_cell_length_c 8.598
_cell_angle_alpha 90.00
_cell_angle_beta 90.00
_cell_angle_gamma 90.00
_space_group_name_H-M_alt 'F -4 3 m'
_space_group_IT_number 216
_space_group_name_Hall 'F -4 2 3'
loop_
_atom_site_label
_atom_site_type_symbol
_atom_site_fract_x
_atom_site_fract_y
_atom_site_fract_z
Cs1 Cs 0.000 0.000 0.000
Y1 Y 0.250 0.250 0.250
Tm1 Tm 0.000 0.000 0.500
```

Q: What are the energies relative to the best structure? A: model one 21; model two 0, in meV/atom.